[1]
The following is a DFT calculation (PBE) of an optimized crystal structure of CoTcBr4.

Lattice parameters (Å, degrees): 6.162 6.162 6.162 60.00 60.00 60.00
Positions (direct):
Br (0.375, 0.375, 0.874)
Br (0.874, 0.375, 0.375)
Br (0.375, 0.375, 0.375)
Br (0.375, 0.874, 0.375)
Tc (0.000, 0.000, 0.000)
Co (0.750, 0.750, 0.750)

Magnetic moment = 5.7 μB per formula unit
SG = F-43m (216)
Energy = -2.4746 eV per atom
Crystal system = cubic
Formation energy from raw total energies = 9.3 eV/f.u.

=====

[2]
The following is a DFT calculation (PBE) of an optimized crystal structure of RbAlAgTe3.

Lattice parameters (Å, degrees): 8.143 8.143 7.252 82.41 82.41 64.03
Positions (direct):
Rb (0.633, 0.633, 0.745)
Rb (0.367, 0.367, 0.255)
Al (0.914, 0.914, 0.885)
Al (0.086, 0.086, 0.115)
Ag (0.802, 0.198, 0.500)
Ag (0.198, 0.802, 0.500)
Te (0.584, 0.123, 0.791)
Te (0.108, 0.108, 0.736)
Te (0.123, 0.584, 0.791)
Te (0.416, 0.877, 0.209)
Te (0.877, 0.416, 0.209)
Te (0.892, 0.892, 0.264)

Magnetic moment = 0.0 μB per formula unit
SG = C2/m (12)
Energy = -3.2646 eV per atom
Crystal system = monoclinic
Formation energy from raw total energies = -2.6 eV/f.u.

=====

[3]
The following is a DFT calculation (PBE) of an optimized crystal structure of Hf2Ti4Pb5.

Lattice parameters (Å, degrees): 6.032 6.847 8.296 57.97 68.68 63.86
Positions (direct):
Pb (0.000, 0.500, 0.500)
Pb (0.637, 0.319, 0.890)
Pb (0.155, 0.319, 0.890)
Pb (0.363, 0.681, 0.110)
Pb (0.845, 0.681, 0.110)
Hf (0.163, 0.949, 0.726)
Hf (0.837, 0.051, 0.274)
Ti (0.598, 0.297, 0.507)
Ti (0.739, 0.831, 0.690)
Ti (0.402, 0.703, 0.493)
Ti (0.261, 0.169, 0.310)

Magnetic moment = 0.0 μB per formula unit
SG = C2/m (12)
Energy = -6.0378 eV per atom
Crystal system = monoclinic

=====

[4]
The following is a DFT calculation (PBE) of an optimized crystal structure of TbScC.

Lattice parameters (Å, degrees): 3.454 3.454 12.188 90.00 90.00 120.00
Positions (direct):
Tb (0.667, 0.333, 0.891)
Tb (0.333, 0.667, 0.391)
Sc (0.667, 0.333, 0.602)
Sc (0.333, 0.667, 0.102)
C (0.000, 0.000, 0.007)
C (0.000, 0.000, 0.507)

Magnetic moment = 0.4 μB per formula unit
Polymorph energy (0 for the lowest one) = 49 meV per atom
SG = P6_3mc (186)
Energy = -7.0070 eV per atom
Crystal system = hexagonal

=====

[5]
The following is a DFT calculation (PBE) of an optimized crystal structure of YW2Se.

Lattice parameters (Å, degrees): 3.838 3.838 11.476 80.37 80.37 90.00
Positions (direct):
Se (0.250, 0.750, 0.500)
Se (0.500, 0.500, 0.000)
W (0.375, 0.381, 0.750)
W (0.131, 0.625, 0.250)
W (0.875, 0.869, 0.750)
W (0.619, 0.125, 0.250)
Y (0.000, 0.000, 0.000)
Y (0.750, 0.250, 0.500)

Magnetic moment = 0.0 μB per formula unit
SG = I-42d (122)
Energy = -8.5758 eV per atom
Crystal system = tetragonal
Formation energy from raw total energies = 1.6 eV/f.u.

=====

[6]
The following is a DFT calculation (PBE) of an optimized crystal structure of PaZn9Au2.

Lattice parameters (Å, degrees): 3.077 8.770 8.770 120.00 90.00 90.00
Positions (direct):
Zn (0.500, 0.820, 0.640)
Zn (0.000, 0.500, 0.500)
Zn (0.000, 0.500, 0.000)
Zn (0.500, 0.360, 0.180)
Zn (0.000, 0.000, 0.500)
Zn (0.500, 0.180, 0.360)
Zn (0.500, 0.640, 0.820)
Zn (0.500, 0.180, 0.820)
Zn (0.500, 0.820, 0.180)
Au (0.000, 0.667, 0.333)
Au (0.000, 0.333, 0.667)
Pa (0.000, 0.000, 0.000)

Magnetic moment = 0.0 μB per formula unit
Polymorph energy (0 for the lowest one) = 53 meV per atom
SG = P6/mmm (191)
Energy = -2.4021 eV per atom
Crystal system = hexagonal